No. 1
! PBE BaLa2Al, optimized geometry; values from VASP
&SYSTEM
  ibrav = 0, nat = 4, ntyp = 3
/
ATOMIC_SPECIES
Ba 137.33 Ba.upf
La 138.91 La.upf
Al 26.98 Al.upf
CELL_PARAMETERS angstrom
11.784 -0.026 -0.015
11.136 3.856 -0.015
11.136 1.861 3.378
ATOMIC_POSITIONS crystal
Ba 0.750 0.750 0.750
La 0.520 0.520 0.520
La 0.980 0.980 0.980
Al 0.250 0.250 0.250
! ΔE_f = 0.043 eV/atom
! Fermi-level density of states = 1.566 states/eV per atom
! V = 155.2 Å³ per cell
! E = -3.837 eV/atom
! SG = R-3m


No. 2
! PBE BaLa2Al, optimized geometry; values from VASP
&SYSTEM
  ibrav = 0, nat = 4, ntyp = 3
/
ATOMIC_SPECIES
Al 26.98 Al.upf
Ba 137.33 Ba.upf
La 138.91 La.upf
CELL_PARAMETERS angstrom
-3.411 -0.936 -1.519
-0.694 -2.325 2.989
-4.320 7.679 4.969
ATOMIC_POSITIONS crystal
Al 0.500 0.500 0.250
Ba 0.500 0.500 0.750
La 0.000 0.000 0.427
La 0.000 0.000 0.073
! ΔE_f = -0.087 eV/atom
! Fermi-level density of states = 1.502 states/eV per atom
! V = 149.9 Å³ per cell
! E = -3.967 eV/atom
! SG = P4/mmm


No. 3
! PBE BaLaAl3, optimized geometry; values from VASP
&SYSTEM
  ibrav = 0, nat = 5, ntyp = 3
/
ATOMIC_SPECIES
La 138.91 La.upf
Al 26.98 Al.upf
Ba 137.33 Ba.upf
CELL_PARAMETERS angstrom
5.603 0.000 0.000
0.000 5.603 0.000
0.000 0.000 5.603
ATOMIC_POSITIONS crystal
La 0.500 0.500 0.500
Al 0.000 0.000 0.500
Al 0.000 0.500 0.000
Al 0.500 0.000 0.000
Ba 0.000 0.000 0.000
! ΔE_f = 0.975 eV/atom
! Offset from the most stable computed form = 456 meV/atom
! Fermi-level density of states = 1.355 states/eV per atom
! V = 175.9 Å³ per cell
! E = -2.641 eV/atom
! SG = Pm-3m


No. 4
! PBE BaLa2Al, optimized geometry; values from VASP
&SYSTEM
  ibrav = 0, nat = 4, ntyp = 3
/
ATOMIC_SPECIES
La 138.91 La.upf
Al 26.98 Al.upf
Ba 137.33 Ba.upf
CELL_PARAMETERS angstrom
5.184 0.004 0.000
-0.006 5.184 0.000
0.000 0.000 5.050
ATOMIC_POSITIONS crystal
La 0.000 0.000 0.000
La 0.500 0.500 0.000
Al 0.500 0.000 0.500
Ba 0.000 0.500 0.500
! ΔE_f = 0.018 eV/atom
! Fermi-level density of states = 1.005 states/eV per atom
! V = 135.7 Å³ per cell
! E = -3.862 eV/atom
! SG = P4/mmm


No. 5
! PBE BaLa2Al, optimized geometry; values from VASP
&SYSTEM
  ibrav = 0, nat = 4, ntyp = 3
/
ATOMIC_SPECIES
Al 26.98 Al.upf
La 138.91 La.upf
Ba 137.33 Ba.upf
CELL_PARAMETERS angstrom
6.918 -0.013 -0.004
-3.386 6.032 -0.004
0.846 1.441 3.317
ATOMIC_POSITIONS crystal
Al 0.500 0.000 0.500
La 0.500 0.500 0.000
La 0.000 0.000 0.000
Ba 0.000 0.500 0.500
! ΔE_f = 0.133 eV/atom
! Fermi-level density of states = 1.320 states/eV per atom
! V = 138.3 Å³ per cell
! E = -3.747 eV/atom
! SG = C2/m


No. 6
! PBE BaLa2Al, optimized geometry; values from VASP
&SYSTEM
  ibrav = 0, nat = 4, ntyp = 3
/
ATOMIC_SPECIES
La 138.91 La.upf
Ba 137.33 Ba.upf
Al 26.98 Al.upf
CELL_PARAMETERS angstrom
3.941 0.000 0.000
0.000 3.941 0.000
0.000 0.000 9.480
ATOMIC_POSITIONS crystal
La 0.500 0.500 0.292
La 0.000 0.000 0.042
Ba 0.500 0.500 0.700
Al 0.000 0.000 0.465
! ΔE_f = -0.042 eV/atom
! Fermi-level density of states = 1.704 states/eV per atom
! V = 147.3 Å³ per cell
! E = -3.922 eV/atom
! SG = P4mm


No. 7
! PBE BaLaAl, optimized geometry; values from VASP
&SYSTEM
  ibrav = 0, nat = 3, ntyp = 3
/
ATOMIC_SPECIES
Al 26.98 Al.upf
La 138.91 La.upf
Ba 137.33 Ba.upf
CELL_PARAMETERS angstrom
-2.423 2.584 1.816
-1.021 -3.839 -0.262
3.898 -1.541 7.391
ATOMIC_POSITIONS crystal
Al 0.000 0.000 0.986
La 0.333 0.667 0.729
Ba 0.667 0.333 0.285
! ΔE_f = 0.094 eV/atom
! Offset from the most stable computed form = 280 meV/atom
! Fermi-level density of states = 0.889 states/eV per atom
! V = 116.6 Å³ per cell
! E = -3.437 eV/atom
! SG = P3m1


No. 8
! PBE BaLaAl, optimized geometry; values from VASP
&SYSTEM
  ibrav = 0, nat = 6, ntyp = 3
/
ATOMIC_SPECIES
Al 26.98 Al.upf
Ba 137.33 Ba.upf
La 138.91 La.upf
CELL_PARAMETERS angstrom
13.044 0.028 -0.033
1.441 4.113 0.004
-0.799 0.277 4.524
ATOMIC_POSITIONS crystal
Al 0.217 0.098 0.256
Al 0.347 0.469 0.320
Ba 0.919 0.395 0.107
Ba 0.645 0.167 0.468
La 0.148 0.666 0.721
La 0.415 0.900 0.855
! ΔE_f = -0.186 eV/atom
! Offset from the most stable computed form = 0 meV/atom
! Fermi-level density of states = 1.409 states/eV per atom
! V = 242.4 Å³ per cell
! E = -3.717 eV/atom
! SG = Cm


No. 9
! PBE BaLa2Al, optimized geometry; values from VASP
&SYSTEM
  ibrav = 0, nat = 4, ntyp = 3
/
ATOMIC_SPECIES
La 138.91 La.upf
Ba 137.33 Ba.upf
Al 26.98 Al.upf
CELL_PARAMETERS angstrom
-4.221 -3.882 -2.428
-0.333 -5.111 3.542
-0.303 6.051 1.442
ATOMIC_POSITIONS crystal
La 0.500 0.500 0.000
La 0.000 0.000 0.000
Ba 0.750 0.250 0.500
Al 0.250 0.750 0.500
! ΔE_f = 0.028 eV/atom
! Fermi-level density of states = 1.026 states/eV per atom
! V = 132.5 Å³ per cell
! E = -3.852 eV/atom
! SG = I4/mmm


No. 10
! PBE Ba2La2Al, optimized geometry; values from VASP
&SYSTEM
  ibrav = 0, nat = 10, ntyp = 3
/
ATOMIC_SPECIES
Al 26.98 Al.upf
La 138.91 La.upf
Ba 137.33 Ba.upf
CELL_PARAMETERS angstrom
8.191 0.000 0.000
0.000 8.191 0.000
0.000 0.000 6.140
ATOMIC_POSITIONS crystal
Al 0.500 0.500 0.000
Al 0.000 0.000 0.000
La 0.869 0.631 0.000
La 0.631 0.131 0.000
La 0.369 0.869 0.000
La 0.131 0.369 0.000
Ba 0.821 0.321 0.500
Ba 0.179 0.679 0.500
Ba 0.679 0.821 0.500
Ba 0.321 0.179 0.500
! ΔE_f = 0.174 eV/atom
! Fermi-level density of states = 1.853 states/eV per atom
! V = 412.0 Å³ per cell
! E = -3.315 eV/atom
! SG = P4/mbm


No. 11
! PBE BaLaAl, optimized geometry; values from VASP
&SYSTEM
  ibrav = 0, nat = 3, ntyp = 3
/
ATOMIC_SPECIES
La 138.91 La.upf
Ba 137.33 Ba.upf
Al 26.98 Al.upf
CELL_PARAMETERS angstrom
5.557 0.000 0.000
2.778 4.812 0.000
2.778 1.604 4.537
ATOMIC_POSITIONS crystal
La 0.500 0.500 0.500
Ba 0.000 0.000 0.000
Al 0.750 0.750 0.750
! ΔE_f = 0.091 eV/atom
! Offset from the most stable computed form = 277 meV/atom
! Fermi-level density of states = 1.261 states/eV per atom
! V = 121.3 Å³ per cell
! E = -3.440 eV/atom
! SG = F-43m


No. 12
! PBE Ba3LaAl, optimized geometry; values from VASP
&SYSTEM
  ibrav = 0, nat = 5, ntyp = 3
/
ATOMIC_SPECIES
Ba 137.33 Ba.upf
La 138.91 La.upf
Al 26.98 Al.upf
CELL_PARAMETERS angstrom
-1.846 4.980 -3.539
2.849 -2.569 -5.100
-5.404 -3.055 -1.480
ATOMIC_POSITIONS crystal
Ba 0.500 0.000 0.000
Ba 0.000 0.000 0.500
Ba 0.000 0.500 0.000
La 0.000 0.000 0.000
Al 0.500 0.500 0.500
! ΔE_f = 0.770 eV/atom
! Fermi-level density of states = 1.596 states/eV per atom
! V = 259.9 Å³ per cell
! E = -2.118 eV/atom
! SG = Pm-3m


No. 13
! PBE BaLa2Al, optimized geometry; values from VASP
&SYSTEM
  ibrav = 0, nat = 4, ntyp = 3
/
ATOMIC_SPECIES
La 138.91 La.upf
Al 26.98 Al.upf
Ba 137.33 Ba.upf
CELL_PARAMETERS angstrom
-3.849 2.495 5.438
-4.167 -4.252 3.895
6.578 1.297 -2.381
ATOMIC_POSITIONS crystal
La 0.706 0.206 0.500
La 0.996 0.996 0.000
Al 0.511 0.511 0.000
Ba 0.288 0.788 0.500
! ΔE_f = 0.010 eV/atom
! Fermi-level density of states = 1.384 states/eV per atom
! V = 142.4 Å³ per cell
! E = -3.870 eV/atom
! SG = Imm2


No. 14
! PBE Ba3LaAl8, optimized geometry; values from VASP
&SYSTEM
  ibrav = 0, nat = 12, ntyp = 3
/
ATOMIC_SPECIES
Al 26.98 Al.upf
Ba 137.33 Ba.upf
La 138.91 La.upf
CELL_PARAMETERS angstrom
-5.865 -0.515 0.935
-3.045 -4.448 -2.546
-1.243 -7.266 7.203
ATOMIC_POSITIONS crystal
Al 0.938 0.938 0.681
Al 0.436 0.436 0.194
Al 0.934 0.436 0.194
Al 0.938 0.444 0.681
Al 0.187 0.187 0.438
Al 0.444 0.938 0.681
Al 0.436 0.934 0.194
Al 0.688 0.688 0.936
Ba 0.000 0.000 0.999
Ba 0.375 0.375 0.874
Ba 0.499 0.499 0.503
La 0.875 0.875 0.374
! ΔE_f = -0.256 eV/atom
! Fermi-level density of states = 0.601 states/eV per atom
! V = 299.0 Å³ per cell
! E = -3.642 eV/atom
! SG = R3m


No. 15
! PBE BaLaAl, optimized geometry; values from VASP
&SYSTEM
  ibrav = 0, nat = 3, ntyp = 3
/
ATOMIC_SPECIES
La 138.91 La.upf
Al 26.98 Al.upf
Ba 137.33 Ba.upf
CELL_PARAMETERS angstrom
5.473 0.000 0.000
-2.736 4.739 0.000
0.000 0.000 3.904
ATOMIC_POSITIONS crystal
La 0.333 0.667 0.709
Al 0.000 0.000 0.958
Ba 0.667 0.333 0.333
! ΔE_f = 0.022 eV/atom
! Offset from the most stable computed form = 208 meV/atom
! Fermi-level density of states = 0.758 states/eV per atom
! V = 101.3 Å³ per cell
! E = -3.509 eV/atom
! SG = P3m1


No. 16
! PBE BaLa2Al, optimized geometry; values from VASP
&SYSTEM
  ibrav = 0, nat = 4, ntyp = 3
/
ATOMIC_SPECIES
Al 26.98 Al.upf
La 138.91 La.upf
Ba 137.33 Ba.upf
CELL_PARAMETERS angstrom
4.053 0.000 0.000
0.000 5.878 0.000
0.000 0.000 5.804
ATOMIC_POSITIONS crystal
Al 0.500 0.000 0.500
La 0.500 0.500 0.000
La 0.000 0.000 0.000
Ba 0.000 0.500 0.500
! ΔE_f = 0.103 eV/atom
! Fermi-level density of states = 1.280 states/eV per atom
! V = 138.3 Å³ per cell
! E = -3.777 eV/atom
! SG = Pmmm


No. 17
! PBE BaLa2Al, optimized geometry; values from VASP
&SYSTEM
  ibrav = 0, nat = 4, ntyp = 3
/
ATOMIC_SPECIES
La 138.91 La.upf
Al 26.98 Al.upf
Ba 137.33 Ba.upf
CELL_PARAMETERS angstrom
7.136 0.001 0.008
6.030 3.815 0.008
2.460 0.713 5.357
ATOMIC_POSITIONS crystal
La 0.457 0.457 0.543
La 0.043 0.043 0.957
Al 0.750 0.750 0.750
Ba 0.250 0.250 0.250
! ΔE_f = -0.045 eV/atom
! Fermi-level density of states = 1.302 states/eV per atom
! V = 145.7 Å³ per cell
! E = -3.925 eV/atom
! SG = Immm


No. 18
! PBE BaLa2Al, optimized geometry; values from VASP
&SYSTEM
  ibrav = 0, nat = 4, ntyp = 3
/
ATOMIC_SPECIES
La 138.91 La.upf
Al 26.98 Al.upf
Ba 137.33 Ba.upf
CELL_PARAMETERS angstrom
-5.469 0.320 -0.609
0.293 -1.621 -3.489
-0.556 -6.456 1.608
ATOMIC_POSITIONS crystal
La 0.000 0.020 0.048
La 0.000 0.480 0.452
Al 0.500 0.250 0.250
Ba 0.500 0.750 0.750
! ΔE_f = 0.029 eV/atom
! Fermi-level density of states = 1.102 states/eV per atom
! V = 139.6 Å³ per cell
! E = -3.851 eV/atom
! SG = P2/m


No. 19
! PBE BaLa2Al, optimized geometry; values from VASP
&SYSTEM
  ibrav = 0, nat = 4, ntyp = 3
/
ATOMIC_SPECIES
La 138.91 La.upf
Ba 137.33 Ba.upf
Al 26.98 Al.upf
CELL_PARAMETERS angstrom
-1.385 -2.895 -4.799
-0.931 -5.693 0.231
-5.342 -2.081 -0.676
ATOMIC_POSITIONS crystal
La 0.250 0.250 0.250
La 0.000 0.000 0.000
Ba 0.750 0.750 0.750
Al 0.500 0.500 0.500
! ΔE_f = 0.151 eV/atom
! Fermi-level density of states = 1.209 states/eV per atom
! V = 136.0 Å³ per cell
! E = -3.729 eV/atom
! SG = F-43m


No. 20
! PBE BaLa2Al, optimized geometry; values from VASP
&SYSTEM
  ibrav = 0, nat = 8, ntyp = 3
/
ATOMIC_SPECIES
La 138.91 La.upf
Al 26.98 Al.upf
Ba 137.33 Ba.upf
CELL_PARAMETERS angstrom
4.934 0.000 0.000
0.000 4.934 0.000
2.467 2.467 11.791
ATOMIC_POSITIONS crystal
La 0.375 0.425 0.750
La 0.575 0.125 0.250
La 0.875 0.825 0.750
La 0.175 0.625 0.250
Al 0.500 0.500 0.000
Al 0.250 0.750 0.500
Ba 0.750 0.250 0.500
Ba 0.000 0.000 0.000
! ΔE_f = 0.204 eV/atom
! Fermi-level density of states = 1.638 states/eV per atom
! V = 287.1 Å³ per cell
! E = -3.676 eV/atom
! SG = I-42d


No. 21
! PBE Ba4LaAl, optimized geometry; values from VASP
&SYSTEM
  ibrav = 0, nat = 6, ntyp = 3
/
ATOMIC_SPECIES
La 138.91 La.upf
Ba 137.33 Ba.upf
Al 26.98 Al.upf
CELL_PARAMETERS angstrom
0.000 5.222 5.222
5.222 0.000 5.222
5.222 5.222 0.000
ATOMIC_POSITIONS crystal
La 0.750 0.750 0.750
Ba 0.877 0.374 0.374
Ba 0.374 0.374 0.877
Ba 0.374 0.877 0.374
Ba 0.374 0.374 0.374
Al 0.000 0.000 0.000
! ΔE_f = 0.531 eV/atom
! Fermi-level density of states = 1.793 states/eV per atom
! V = 284.8 Å³ per cell
! E = -2.196 eV/atom
! SG = F-43m


No. 22
! PBE BaLaMg2Al, optimized geometry; values from VASP
&SYSTEM
  ibrav = 0, nat = 5, ntyp = 4
/
ATOMIC_SPECIES
Mg 24.30 Mg.upf
Al 26.98 Al.upf
La 138.91 La.upf
Ba 137.33 Ba.upf
CELL_PARAMETERS angstrom
-4.641 3.213 -1.540
-0.697 -3.359 -4.907
-3.497 -3.625 2.978
ATOMIC_POSITIONS crystal
Mg 0.500 0.000 0.000
Mg 0.000 0.000 0.500
Al 0.500 0.500 0.500
La 0.000 0.500 0.000
Ba 0.000 0.000 0.000
! ΔE_f = 1.192 eV/atom
! Fermi-level density of states = 0.854 states/eV per atom
! V = 205.0 Å³ per cell
! E = -1.565 eV/atom
! SG = P4/mmm


No. 23
! PBE BaLaMnAl2, optimized geometry; values from VASP
&SYSTEM
  ibrav = 0, nat = 5, ntyp = 4
/
ATOMIC_SPECIES
La 138.91 La.upf
Mn 54.94 Mn.upf
Ba 137.33 Ba.upf
Al 26.98 Al.upf
CELL_PARAMETERS angstrom
-1.564 2.105 -4.272
-4.236 -2.669 0.236
-2.177 3.687 2.614
ATOMIC_POSITIONS crystal
La 0.000 0.000 0.500
Mn 0.000 0.000 0.000
Ba 0.500 0.500 0.500
Al 0.500 0.000 0.000
Al 0.000 0.500 0.000
! ΔE_f = -0.071 eV/atom
! Fermi-level density of states = 0.782 states/eV per atom
! V = 126.1 Å³ per cell
! E = -4.772 eV/atom
! SG = P4/mmm


No. 24
! PBE BaLaAl2Mo, optimized geometry; values from VASP
&SYSTEM
  ibrav = 0, nat = 5, ntyp = 4
/
ATOMIC_SPECIES
Mo 95.94 Mo.upf
Ba 137.33 Ba.upf
Al 26.98 Al.upf
La 138.91 La.upf
CELL_PARAMETERS angstrom
5.564 0.000 0.000
0.000 5.195 0.000
0.000 0.000 5.564
ATOMIC_POSITIONS crystal
Mo 0.000 0.500 0.000
Ba 0.000 0.000 0.000
Al 0.500 0.000 0.000
Al 0.000 0.000 0.500
La 0.500 0.500 0.500
! ΔE_f = 1.486 eV/atom
! Fermi-level density of states = 1.097 states/eV per atom
! V = 160.8 Å³ per cell
! E = -3.548 eV/atom
! SG = P4/mmm


No. 25
! PBE BaLa2AlN, optimized geometry; values from VASP
&SYSTEM
  ibrav = 0, nat = 5, ntyp = 4
/
ATOMIC_SPECIES
Al 26.98 Al.upf
La 138.91 La.upf
Ba 137.33 Ba.upf
N 14.01 N.upf
CELL_PARAMETERS angstrom
-3.292 -3.819 0.797
2.761 -3.017 -3.055
2.993 -1.671 4.356
ATOMIC_POSITIONS crystal
Al 0.500 0.500 0.500
La 0.500 0.000 0.000
La 0.000 0.500 0.000
Ba 0.000 0.000 0.500
N 0.000 0.000 0.000
! Fermi-level density of states = 0.964 states/eV per atom
! V = 144.4 Å³ per cell
! E = -5.291 eV/atom
! Formation energy from raw total energies = -0.5214 eV/atom
! SG = P4/mmm


No. 26
! PBE BaLa2AlNi, optimized geometry; values from VASP
&SYSTEM
  ibrav = 0, nat = 5, ntyp = 4
/
ATOMIC_SPECIES
Al 26.98 Al.upf
Ba 137.33 Ba.upf
La 138.91 La.upf
Ni 58.69 Ni.upf
CELL_PARAMETERS angstrom
5.563 0.000 0.000
0.000 5.563 0.000
0.000 0.000 4.949
ATOMIC_POSITIONS crystal
Al 0.000 0.000 0.500
Ba 0.500 0.500 0.500
La 0.500 0.000 0.000
La 0.000 0.500 0.000
Ni 0.000 0.000 0.000
! ΔE_f = -0.105 eV/atom
! Fermi-level density of states = 1.314 states/eV per atom
! V = 153.2 Å³ per cell
! E = -4.365 eV/atom
! SG = P4/mmm


No. 27
! PBE Ba2LaAl2O7, optimized geometry; values from VASP
&SYSTEM
  ibrav = 0, nat = 12, ntyp = 4
/
ATOMIC_SPECIES
Al 26.98 Al.upf
Ba 137.33 Ba.upf
O 16.00 O.upf
La 138.91 La.upf
CELL_PARAMETERS angstrom
3.917 -0.002 0.010
0.002 3.917 0.010
1.932 1.929 10.503
ATOMIC_POSITIONS crystal
Al 0.591 0.591 0.819
Al 0.409 0.409 0.181
Ba 0.181 0.181 0.638
Ba 0.819 0.819 0.362
O 0.682 0.682 0.636
O 0.085 0.585 0.829
O 0.915 0.415 0.171
O 0.415 0.915 0.171
O 0.318 0.318 0.364
O 0.585 0.085 0.829
O 0.500 0.500 0.000
La 0.000 0.000 0.000
! Fermi-level density of states = 0.666 states/eV per atom
! V = 161.0 Å³ per cell
! E = -7.096 eV/atom
! Formation energy from raw total energies = -2.8493 eV/atom
! SG = I4/mmm


No. 28
! PBE BaLaAlO4, optimized geometry; values from VASP
&SYSTEM
  ibrav = 0, nat = 14, ntyp = 4
/
ATOMIC_SPECIES
O 16.00 O.upf
La 138.91 La.upf
Ba 137.33 Ba.upf
Al 26.98 Al.upf
CELL_PARAMETERS angstrom
-2.711 2.211 4.718
4.523 -1.693 3.393
4.140 5.265 -2.892
ATOMIC_POSITIONS crystal
O 0.045 0.518 0.285
O 0.045 0.982 0.285
O 0.562 0.250 0.829
O 0.955 0.482 0.715
O 0.438 0.750 0.171
O 0.439 0.750 0.561
O 0.955 0.018 0.715
O 0.561 0.250 0.439
La 0.207 0.250 0.542
La 0.793 0.750 0.458
Ba 0.705 0.750 0.926
Ba 0.295 0.250 0.074
Al 0.248 0.750 0.319
Al 0.752 0.250 0.681
! Fermi-level density of states = 0.000 states/eV per atom
! V = 240.6 Å³ per cell
! E = -7.399 eV/atom
! Formation energy from raw total energies = -3.0527 eV/atom
! SG = P2_1/m